No. 1
Crystalline AcBPPd6 at its relaxed geometry, computed with PBE.

Cell lengths 7.7176, 7.9726, 7.8512 Å; angles 120.51, 119.44, 90.00 degrees
Last column: nearest neighbours and their distance in Å.
Fractional coordinates of all 18 atoms:
P  0.5000  0.0000  0.5000  6 Pd 2.27-2.28
Pd  0.4392  0.6892  0.8785  2 B 2.10
Ac  0.1529  0.4029  0.3057  6 Pd 3.18-3.26
B  0.5000  0.5000  0.0000  6 Pd 2.09-2.10
Pd  0.1750  0.3452  0.7522  1 B 2.09, 1 P 2.27
P  0.0000  0.0000  0.5000  6 Pd 2.27-2.28
Pd  0.8250  0.6548  0.2478  1 B 2.09, 1 P 2.27
Pd  0.5608  0.3108  0.1215  2 B 2.10
Ac  0.8471  0.5971  0.6943  6 Pd 3.18-3.26
Pd  0.1750  0.9070  0.7522  1 B 2.09, 1 P 2.27
Pd  0.8250  0.0930  0.2478  1 B 2.09, 1 P 2.27
Pd  0.5772  0.3452  0.7522  1 B 2.09, 1 P 2.27
Pd  0.4228  0.0930  0.2478  1 B 2.09, 1 P 2.27
Pd  0.1405  0.8905  0.2810  2 P 2.28
B  0.5000  0.0000  0.0000  6 Pd 2.09-2.10
Pd  0.5772  0.9070  0.7522  1 B 2.09, 1 P 2.27
Pd  0.8595  0.1095  0.7190  2 P 2.28
Pd  0.4228  0.6548  0.2478  1 B 2.09, 1 P 2.27

Computed properties:
**Formation energy from the elements**: -413 kJ/mol of formula units
**Space-group type**: Imma (74)
**Total moment**: 0.000 μB/atom
**Total energy**: -103.3 eV for the cell shown

=====

No. 2
Crystalline Ac4PPtS2 at its relaxed geometry, computed with PBE.

Cell lengths 4.3377, 7.6195, 7.6727 Å; angles 70.92, 90.00, 90.00 degrees
Last column: nearest neighbours and their distance in Å.
Fractional coordinates of all 8 atoms:
Ac  0.5000  0.2522  0.7461  2 P 3.08, 3 S 3.10-3.12, 1 Pt 3.13
Ac  0.5000  0.7478  0.2539  2 P 3.08, 3 S 3.10-3.12, 1 Pt 3.13
P  0.0000  0.5000  0.5000  6 Ac 3.08-3.09
Pt  0.5000  0.5000  0.0000  6 Ac 3.07-3.13
S  0.5000  0.0000  0.5000  6 Ac 3.10-3.14
Ac  0.0000  0.7427  0.7537  2 Pt 3.07, 1 P 3.09, 3 S 3.14
S  0.0000  0.0000  0.0000  6 Ac 3.12-3.14
Ac  0.0000  0.2573  0.2463  2 Pt 3.07, 1 P 3.09, 3 S 3.14

Computed properties:
**Uncorrected formation energy**: -1.6284 eV/atom
**Space-group type**: P2/m (10)
**Total moment**: 0.000 μB/atom
**Total energy**: -49.2 eV for the cell shown

=====

No. 3
Crystalline La2MgTlN at its relaxed geometry, computed with PBE.

Cell lengths 5.1587, 5.1587, 4.5403 Å; angles 90.00, 90.00, 90.00 degrees
Last column: nearest neighbours and their distance in Å.
Fractional coordinates of all 5 atoms:
Tl  0.5000  0.5000  0.5000  8 La 3.44, 4 Mg 3.65
N  0.0000  0.0000  0.0000  2 Mg 2.27
Mg  0.0000  0.0000  0.5000  2 N 2.27
La  0.5000  0.0000  0.0000  2 N 2.58
La  0.0000  0.5000  0.0000  2 N 2.58

Computed properties:
**Uncorrected formation energy**: -0.7087 eV/atom
**Space-group type**: P4/mmm (123)
**Total moment**: 0.000 μB/atom
**Total energy**: -25.7 eV for the cell shown

=====

No. 4
Crystalline NaTa2NbSi at its relaxed geometry, computed with PBE.

Cell lengths 4.6198, 4.5686, 4.6198 Å; angles 90.00, 90.00, 90.00 degrees
Last column: nearest neighbours and their distance in Å.
Fractional coordinates of all 5 atoms:
Si  0.5000  0.5000  0.5000  8 Ta 3.25, 4 Nb 3.27
Ta  0.0000  0.0000  0.5000  2 Na 2.31
Ta  0.5000  0.0000  0.0000  2 Na 2.31
Na  0.0000  0.0000  0.0000  2 Nb 2.28, 4 Ta 2.31
Nb  0.0000  0.5000  0.0000  2 Na 2.28

Computed properties:
**Uncorrected formation energy**: 2.1960 eV/atom
**Space-group type**: P4/mmm (123)
**Total moment**: 0.000 μB/atom
**Total energy**: -29.5 eV for the cell shown

=====

No. 5
Crystalline SmYPa at its relaxed geometry, computed with PBE.

Cell lengths 3.4092, 3.4084, 15.8445 Å; angles 90.01, 102.38, 90.00 degrees
Last column: nearest neighbours and their distance in Å.
Fractional coordinates of all 6 atoms:
Y  0.1568  0.2492  0.9074  4 Pa 3.40, 8 Y 3.41-3.75
Sm  0.8480  0.2490  0.5971  4 Pa 3.41, 4 Sm 3.41
Sm  0.1520  0.7510  0.4029  4 Pa 3.41, 4 Sm 3.41
Y  0.8432  0.7508  0.0926  4 Pa 3.40, 8 Y 3.41-3.75
Pa  0.5026  0.7489  0.7528  4 Y 3.40, 4 Sm 3.41, 4 Pa 3.41
Pa  0.4974  0.2511  0.2472  4 Y 3.40, 4 Sm 3.41, 4 Pa 3.41

Computed properties:
**Formation energy from the elements**: 50 kJ/mol of formula units
**Space-group type**: P-1 (2)
**Relative energy among the computed polymorphs**: 0.06 eV per formula unit
**Total moment**: 0.000 μB/atom
**Total energy**: -40.3 eV for the cell shown

=====

No. 6
Crystalline Pa2Se4S at its relaxed geometry, computed with PBE.

Cell lengths 4.9084, 4.9084, 9.4971 Å; angles 75.02, 75.02, 60.00 degrees
Last column: nearest neighbours and their distance in Å.
Fractional coordinates of all 7 atoms:
Se  0.0934  0.0934  0.7197  3 Pa 2.90, 3 Se 3.23
S  0.5000  0.5000  0.5000  2 Pa 2.58
Pa  0.5950  0.5950  0.2149  1 S 2.58
Se  0.7033  0.7033  0.8900  4 Pa 2.95-2.99, 3 Se 3.23
Se  0.9066  0.9066  0.2803  3 Pa 2.90, 3 Se 3.23
Pa  0.4050  0.4050  0.7851  1 S 2.58
Se  0.2967  0.2967  0.1100  4 Pa 2.95-2.99, 3 Se 3.23

Computed properties:
**Uncorrected formation energy**: -1.2671 eV/atom
**Space-group type**: R-3m (166)
**Total moment**: 0.000 μB/atom
**Total energy**: -45.9 eV for the cell shown